1.
Entry from Alexandria via LeMat-Bulk: crystalline Be2CdRh at its relaxed geometry (GGA-PBEsol).

a = 5.9010 Å, b = 5.9010 Å, c = 5.9010 Å
α = 90.00°, β = 90.00°, γ = 90.00°
With the nearest neighbours (Å) after each atom.
Space group F-43m (No. 216)
Asymmetric unit:
Be: 0.0000 0.0000 0.0000 [4 per cell]  4 Cd 2.56, 4 Be 2.56
Be: 0.2500 0.2500 0.2500 [4 per cell]  4 Be 2.56, 4 Rh 2.56
Cd: 0.2500 0.2500 0.7500 [4 per cell]  4 Be 2.56, 4 Rh 2.56
Rh: 0.0000 0.0000 0.5000 [4 per cell]  4 Cd 2.56, 4 Be 2.56

Computed properties:
**Energy of formation from the pure elements**: 0.141 eV per atom
**Theoretical density**: 7.54 Mg/m³
**Magnetic moment**: 0.00 μB per cell

---

2.
Entry from Alexandria via LeMat-Bulk: crystalline BeCdRh2 at its relaxed geometry (GGA-PBEsol).

a = 4.2337 Å, b = 4.2337 Å, c = 3.0491 Å
α = 90.00°, β = 90.00°, γ = 90.00°
With the nearest neighbours (Å) after each atom.
Space group P4/mmm (No. 123)
Asymmetric unit:
Be: 0.0000 0.0000 0.0000 [1 per cell]  8 Rh 2.61
Cd: 0.5000 0.5000 0.0000 [1 per cell]  8 Rh 2.61
Rh: 0.0000 0.5000 0.5000 [2 per cell]  4 Cd 2.61, 4 Be 2.61

Computed properties:
**Energy of formation from the pure elements**: -0.018 eV per atom
**Theoretical density**: 9.94 Mg/m³
**Magnetic moment**: 0.00 μB per cell

---

3.
Entry from Alexandria via LeMat-Bulk: crystalline BeCdRu at its relaxed geometry (GGA-PBEsol).

a = 5.5468 Å, b = 5.5468 Å, c = 5.5468 Å
α = 90.00°, β = 90.00°, γ = 90.00°
With the nearest neighbours (Å) after each atom.
Space group F-43m (No. 216)
Asymmetric unit:
Be: 0.0000 0.0000 0.0000 [4 per cell]  4 Cd 2.40, 4 Ru 2.40
Cd: 0.2500 0.2500 0.7500 [4 per cell]  4 Be 2.40
Ru: 0.2500 0.2500 0.2500 [4 per cell]  4 Be 2.40

Computed properties:
**Energy of formation from the pure elements**: 0.350 eV per atom
**Theoretical density**: 8.66 Mg/m³
**Magnetic moment**: 0.00 μB per cell

---

4.
Entry from Alexandria via LeMat-Bulk: crystalline BeCdRu2 at its relaxed geometry (GGA-PBEsol).

a = 3.7229 Å, b = 3.7229 Å, c = 7.9605 Å
α = 90.00°, β = 90.00°, γ = 90.00°
With the nearest neighbours (Å) after each atom.
Space group I4/mmm (No. 139)
Asymmetric unit:
Be: 0.0000 0.0000 0.0000 [2 per cell]  4 Cd 2.63, 8 Ru 2.72
Cd: 0.0000 0.0000 0.5000 [2 per cell]  4 Be 2.63, 8 Ru 2.72
Ru: 0.0000 0.5000 0.2500 [4 per cell]  4 Ru 2.63, 4 Cd 2.72, 4 Be 2.72

Computed properties:
**Energy of formation from the pure elements**: 0.512 eV per atom
**Theoretical density**: 9.74 Mg/m³
**Magnetic moment**: 0.04 μB per cell

---

5.
Entry from Alexandria via LeMat-Bulk: crystalline BeCdRu2 at its relaxed geometry (GGA-PBEsol).

a = 6.0242 Å, b = 6.0242 Å, c = 6.0242 Å
α = 90.00°, β = 90.00°, γ = 90.00°
With the nearest neighbours (Å) after each atom.
Space group F-43m (No. 216)
Asymmetric unit:
Be: 0.0000 0.0000 0.0000 [4 per cell]  4 Cd 2.61, 4 Ru 2.61
Cd: 0.2500 0.2500 0.7500 [4 per cell]  4 Ru 2.61, 4 Be 2.61
Ru: 0.0000 0.0000 0.5000 [4 per cell]  4 Cd 2.61, 4 Ru 2.61
Ru: 0.2500 0.2500 0.2500 [4 per cell]  4 Ru 2.61, 4 Be 2.61

Computed properties:
**Energy of formation from the pure elements**: 0.385 eV per atom
**Theoretical density**: 9.83 Mg/m³
**Magnetic moment**: 0.00 μB per cell

---

6.
Entry from Alexandria via LeMat-Bulk: crystalline BeCdRu at its relaxed geometry (GGA-PBEsol).

a = 2.9566 Å, b = 2.9566 Å, c = 9.4557 Å
α = 90.00°, β = 90.00°, γ = 90.00°
With the nearest neighbours (Å) after each atom.
Space group I4mm (No. 107)
Asymmetric unit:
Be: 0.0000 0.0000 0.0000 [2 per cell]  4 Ru 2.27
Cd: 0.0000 0.0000 0.7020 [2 per cell]  5 Ru 2.80-2.84, 5 Be 2.82-2.83, 4 Cd 2.96
Ru: 0.0000 0.0000 0.4055 [2 per cell]  4 Be 2.27

Computed properties:
**Energy of formation from the pure elements**: 0.120 eV per atom
**Theoretical density**: 8.94 Mg/m³
**Magnetic moment**: 0.00 μB per cell

---

7.
Entry from Alexandria via LeMat-Bulk: crystalline BeCdS2 at its relaxed geometry (GGA-PBEsol).

a = 5.4187 Å, b = 5.4187 Å, c = 10.1300 Å
α = 90.00°, β = 90.00°, γ = 90.00°
With the nearest neighbours (Å) after each atom.
Space group I-42d (No. 122)
Asymmetric unit:
Be: 0.0000 0.0000 0.0000 [4 per cell]  4 S 2.11
Cd: 0.0000 0.0000 0.5000 [4 per cell]  4 S 2.52
S: 0.1860 0.2500 0.1250 [8 per cell]  2 Be 2.11

Computed properties:
**ΔE_f (raw)**: -823 meV per atom
**Theoretical density**: 4.14 Mg/m³
**Magnetic moment**: 0.00 μB per cell

---

8.
Entry from Alexandria via LeMat-Bulk: crystalline BeCdS2 at its relaxed geometry (GGA-PBEsol).

a = 4.0459 Å, b = 4.0459 Å, c = 19.2280 Å
α = 90.00°, β = 90.00°, γ = 120.00°
With the nearest neighbours (Å) after each atom.
Space group R-3m (No. 166, hexagonal axes)
Asymmetric unit:
Be: 0.0000 0.0000 0.0000 [3 per cell]  2 S 1.88
Cd: 0.0000 0.0000 0.5000 [3 per cell]  6 S 2.68
S: 0.0000 0.0000 0.0979 [6 per cell]  1 Be 1.88

Computed properties:
**ΔE_f (raw)**: -430 meV per atom
**Theoretical density**: 3.39 Mg/m³
**Magnetic moment**: 0.00 μB per cell

---

9.
Entry from Alexandria via LeMat-Bulk: crystalline Be2CdSb at its relaxed geometry (GGA-PBEsol).

a = 3.7465 Å, b = 3.7465 Å, c = 9.5358 Å
α = 90.00°, β = 90.00°, γ = 90.00°
With the nearest neighbours (Å) after each atom.
Space group I-4m2 (No. 119)
Asymmetric unit:
Be: 0.0000 0.0000 0.0000 [2 per cell]  4 Cd 2.65
Be: 0.0000 0.5000 0.2500 [2 per cell]  4 Sb 2.65
Cd: 0.0000 0.0000 0.5000 [2 per cell]  4 Be 2.65
Sb: 0.0000 0.5000 0.7500 [2 per cell]  4 Be 2.65

Computed properties:
**ΔE_f (raw)**: 611 meV per atom
**Theoretical density**: 6.26 Mg/m³
**Magnetic moment**: 0.00 μB per cell

---

10.
Entry from Alexandria via LeMat-Bulk: crystalline Be2CdSb at its relaxed geometry (GGA-PBEsol).

a = 3.0107 Å, b = 3.0107 Å, c = 7.3621 Å
α = 90.00°, β = 90.00°, γ = 90.00°
With the nearest neighbours (Å) after each atom.
Space group P4mm (No. 99)
Asymmetric unit:
Be: 0.0000 0.0000 0.0000 [1 per cell]  4 Be 2.31
Be: 0.5000 0.5000 0.1226 [1 per cell]  4 Be 2.31
Cd: 0.0000 0.0000 0.3570 [1 per cell]  5 Be 2.63-2.74
Sb: 0.5000 0.5000 0.7478 [1 per cell]  5 Be 2.76-2.82, 4 Sb 3.01

Computed properties:
**ΔE_f (raw)**: 460 meV per atom
**Theoretical density**: 6.28 Mg/m³
**Magnetic moment**: 0.00 μB per cell

---

11.
Entry from Alexandria via LeMat-Bulk: crystalline Be2CdSb at its relaxed geometry (GGA-PBEsol).

a = 5.9070 Å, b = 5.9070 Å, c = 10.0616 Å
α = 90.00°, β = 90.00°, γ = 90.00°
With the nearest neighbours (Å) after each atom.
Space group I-42d (No. 122)
Asymmetric unit:
Be: 0.2270 0.2500 0.1250 [8 per cell]  2 Sb 2.36, 2 Cd 2.52
Cd: 0.0000 0.0000 0.5000 [4 per cell]  4 Be 2.52
Sb: 0.0000 0.0000 0.0000 [4 per cell]  4 Be 2.36

Computed properties:
**ΔE_f (raw)**: 679 meV per atom
**Theoretical density**: 4.77 Mg/m³
**Magnetic moment**: 0.00 μB per cell

---

12.
Entry from Alexandria via LeMat-Bulk: crystalline BeCdSb2 at its relaxed geometry (GGA-PBEsol).

a = 4.0340 Å, b = 4.0867 Å, c = 5.3206 Å
α = 90.00°, β = 90.00°, γ = 90.00°
With the nearest neighbours (Å) after each atom.
Space group Pmmm (No. 47)
Asymmetric unit:
Be: 0.0000 0.0000 0.0000 [1 per cell]  4 Sb 2.87
Cd: 0.0000 0.5000 0.5000 [1 per cell]  4 Sb 2.87
Sb: 0.5000 0.0000 0.5000 [1 per cell]  4 Cd 2.87
Sb: 0.5000 0.5000 0.0000 [1 per cell]  4 Be 2.87

Computed properties:
**ΔE_f (raw)**: 482 meV per atom
**Theoretical density**: 6.91 Mg/m³
**Magnetic moment**: 0.00 μB per cell

---

13.
Entry from Alexandria via LeMat-Bulk: crystalline BeCd2Sb at its relaxed geometry (GGA-PBEsol).

a = 6.9422 Å, b = 6.9422 Å, c = 6.9422 Å
α = 90.00°, β = 90.00°, γ = 90.00°
With the nearest neighbours (Å) after each atom.
Space group Fm-3m (No. 225)
Asymmetric unit:
Be: 0.0000 0.0000 0.0000 [4 per cell]  8 Cd 3.01
Cd: 0.2500 0.2500 0.2500 [8 per cell]  4 Sb 3.01, 4 Be 3.01
Sb: 0.0000 0.0000 0.5000 [4 per cell]  8 Cd 3.01

Computed properties:
**ΔE_f (raw)**: 546 meV per atom
**Theoretical density**: 7.06 Mg/m³
**Magnetic moment**: 0.00 μB per cell

---

14.
Entry from Alexandria via LeMat-Bulk: crystalline BeCdSb2Te at its relaxed geometry (GGA-PBEsol).

a = 4.8441 Å, b = 4.8441 Å, c = 5.1350 Å
α = 90.00°, β = 90.00°, γ = 90.00°
With the nearest neighbours (Å) after each atom.
Space group P4/mmm (No. 123)
Asymmetric unit:
Be: 0.0000 0.0000 0.0000 [1 per cell]  4 Sb 2.42, 2 Te 2.57
Cd: 0.5000 0.5000 0.5000 [1 per cell]  4 Te 3.43, 8 Sb 3.53
Sb: 0.0000 0.5000 0.0000 [2 per cell]  2 Be 2.42
Te: 0.0000 0.0000 0.5000 [1 per cell]  2 Be 2.57

Computed properties:
**ΔE_f (raw)**: 432 meV per atom
**Theoretical density**: 6.79 Mg/m³
**Magnetic moment**: 0.00 μB per cell

---

15.
Entry from Alexandria via LeMat-Bulk: crystalline Sc2BeCd at its relaxed geometry (GGA-PBEsol).

a = 3.2251 Å, b = 3.2251 Å, c = 26.1810 Å
α = 90.00°, β = 90.00°, γ = 120.00°
With the nearest neighbours (Å) after each atom.
Space group R3m (No. 160, hexagonal axes)
Asymmetric unit:
Sc: 0.0000 0.0000 0.0000 [3 per cell]  3 Cd 3.07, 9 Sc 3.23
Sc: 0.0000 0.0000 0.2325 [3 per cell]  3 Be 2.67
Be: 0.0000 0.0000 0.4927 [3 per cell]  3 Cd 2.54, 3 Sc 2.67
Cd: 0.0000 0.0000 0.7598 [3 per cell]  3 Be 2.54

Computed properties:
**Energy of formation from the pure elements**: 0.208 eV per atom
**Theoretical density**: 4.46 Mg/m³
**Magnetic moment**: 2.15 μB per cell

---

16.
Entry from Alexandria via LeMat-Bulk: crystalline Sc2BeCd at its relaxed geometry (GGA-PBEsol).

a = 10.8854 Å, b = 3.1799 Å, c = 4.7413 Å
α = 90.00°, β = 115.74°, γ = 90.00°
With the nearest neighbours (Å) after each atom.
Space group Cm (No. 8)
Asymmetric unit:
Sc: 0.0000 0.0000 0.0000 [2 per cell]  2 Be 2.78, 4 Cd 2.94
Sc: 0.2106 0.0000 0.7110 [2 per cell]  4 Be 2.86, 4 Sc 3.14-3.18, 4 Cd 3.18-3.20
Be: 0.2326 0.5000 0.2331 [2 per cell]  2 Cd 2.48
Cd: 0.4270 0.0000 0.4271 [2 per cell]  2 Be 2.48

Computed properties:
**Energy of formation from the pure elements**: -0.038 eV per atom
**Theoretical density**: 4.75 Mg/m³
**Magnetic moment**: 1.10 μB per cell

---

17.
Entry from Alexandria via LeMat-Bulk: crystalline ScBe2Cd at its relaxed geometry (GGA-PBEsol).

a = 2.8881 Å, b = 2.8881 Å, c = 6.9298 Å
α = 90.00°, β = 90.00°, γ = 90.00°
With the nearest neighbours (Å) after each atom.
Space group P4mm (No. 99)
Asymmetric unit:
Sc: 0.0000 0.0000 0.0000 [1 per cell]  5 Be 2.72-2.79, 4 Sc 2.89
Be: 0.0000 0.0000 0.4031 [1 per cell]  4 Be 2.27
Be: 0.5000 0.5000 0.2603 [1 per cell]  4 Be 2.27
Cd: 0.5000 0.5000 0.6612 [1 per cell]  5 Be 2.71-2.78, 4 Cd 2.89

Computed properties:
**Energy of formation from the pure elements**: 0.067 eV per atom
**Theoretical density**: 5.04 Mg/m³
**Magnetic moment**: 0.16 μB per cell

---

18.
Entry from Alexandria via LeMat-Bulk: crystalline Sc2BeCd at its relaxed geometry (GGA-PBEsol).

a = 3.2219 Å, b = 3.2219 Å, c = 6.9826 Å
α = 90.00°, β = 90.00°, γ = 90.00°
With the nearest neighbours (Å) after each atom.
Space group P4/mmm (No. 123)
Asymmetric unit:
Sc: 0.0000 0.0000 0.2142 [2 per cell]  4 Be 2.73, 1 Sc 2.99, 4 Cd 3.03
Be: 0.5000 0.5000 0.0000 [1 per cell]  8 Sc 2.73
Cd: 0.5000 0.5000 0.5000 [1 per cell]  8 Sc 3.03, 4 Cd 3.22

Computed properties:
**Energy of formation from the pure elements**: -0.193 eV per atom
**Theoretical density**: 4.84 Mg/m³
**Magnetic moment**: 0.00 μB per cell

---

19.
Entry from Alexandria via LeMat-Bulk: crystalline ScBe2Cd at its relaxed geometry (GGA-PBEsol).

a = 3.0435 Å, b = 4.0955 Å, c = 5.1078 Å
α = 90.00°, β = 90.00°, γ = 90.00°
With the nearest neighbours (Å) after each atom.
Space group Pmmm (No. 47)
Asymmetric unit:
Sc: 0.0000 0.0000 0.0000 [1 per cell]  8 Be 2.78, 4 Cd 2.97, 2 Sc 3.04
Be: 0.5000 0.5000 0.2163 [2 per cell]  1 Be 2.21
Cd: 0.5000 0.0000 0.5000 [1 per cell]  4 Be 2.51

Computed properties:
**Energy of formation from the pure elements**: 0.180 eV per atom
**Theoretical density**: 4.57 Mg/m³
**Magnetic moment**: 0.00 μB per cell

---

20.
Entry from Alexandria via LeMat-Bulk: crystalline BeCdSe2 at its relaxed geometry (GGA-PBEsol).

a = 3.1740 Å, b = 3.1740 Å, c = 7.1890 Å
α = 90.00°, β = 90.00°, γ = 90.00°
With the nearest neighbours (Å) after each atom.
Space group P4/mmm (No. 123)
Asymmetric unit:
Be: 0.0000 0.0000 0.0000 [1 per cell]  8 Se 2.63
Cd: 0.0000 0.0000 0.5000 [1 per cell]  8 Se 3.16, 4 Cd 3.17
Se: 0.5000 0.5000 0.1907 [2 per cell]  4 Be 2.63, 1 Se 2.74

Computed properties:
**ΔE_f (raw)**: 231 meV per atom
**Theoretical density**: 6.40 Mg/m³
**Magnetic moment**: 0.00 μB per cell